<i>
# TmBrCl2 PBE optimized geometry
# Spin magnetization: 0.00 Bohr magnetons per cell
# DOS(E_F): 0.000 states/eV/atom
data_TmBrCl2
_symmetry_space_group_name_H-M 'P 1'
_symmetry_Int_Tables_number 1
_cell_length_a 6.891
_cell_length_b 6.891
_cell_length_c 7.499
_cell_angle_alpha 108.72
_cell_angle_beta 108.72
_cell_angle_gamma 112.50
loop_
_symmetry_equiv_pos_as_xyz
'x,y,z'
loop_
_atom_site_label
_atom_site_type_symbol
_atom_site_fract_x
_atom_site_fract_y
_atom_site_fract_z
Br1 Br 0.553 0.884 0.630
Br2 Br 0.884 0.553 0.130
Tm1 Tm 0.437 0.119 0.917
Tm2 Tm 0.119 0.437 0.417
Cl1 Cl 0.264 0.264 0.159
Cl2 Cl 0.681 0.046 0.208
Cl3 Cl 0.046 0.681 0.708
Cl4 Cl 0.264 0.264 0.659


<ii>
# TmBrCl2 PBE optimized geometry
# Spin magnetization: 0.00 Bohr magnetons per cell
# DOS(E_F): 0.000 states/eV/atom
data_TmBrCl2
_symmetry_space_group_name_H-M 'P 1'
_symmetry_Int_Tables_number 1
_cell_length_a 3.580
_cell_length_b 6.996
_cell_length_c 6.997
_cell_angle_alpha 61.99
_cell_angle_beta 75.18
_cell_angle_gamma 75.20
loop_
_symmetry_equiv_pos_as_xyz
'x,y,z'
loop_
_atom_site_label
_atom_site_type_symbol
_atom_site_fract_x
_atom_site_fract_y
_atom_site_fract_z
Br1 Br 0.250 0.163 0.337
Cl1 Cl 0.396 0.588 0.619
Cl2 Cl 0.103 0.881 0.912
Tm1 Tm 0.750 0.867 0.633


So which one is most stable? That would be <i>, about 0.044 eV/atom below the next structure.